*a*
The following is a PBE calculation of an optimized crystal structure of YBeOs, from the Alexandria database.

CIF file:
```
data_YBeOs
_cell_length_a 6.3437
_cell_length_b 6.3437
_cell_length_c 6.3437
_cell_angle_alpha 90.00
_cell_angle_beta 90.00
_cell_angle_gamma 90.00
_symmetry_space_group_name_H-M 'F -4 3 m'
_symmetry_Int_Tables_number 216
_symmetry_space_group_name_Hall 'F -4 2 3'
loop_
_atom_site_label
_atom_site_type_symbol
_atom_site_fract_x
_atom_site_fract_y
_atom_site_fract_z
Y1 Y 0.0000 0.0000 0.0000
Be1 Be 0.2500 0.2500 0.2500
Os1 Os 0.2500 0.2500 0.7500
```

Results
V: 21.27 Å³ per atom

***

*b*
The following is a PBE calculation of an optimized crystal structure of YBeOs, from the Alexandria database.

CIF file:
```
data_YBeOs
_cell_length_a 5.2015
_cell_length_b 5.2683
_cell_length_c 7.2111
_cell_angle_alpha 90.00
_cell_angle_beta 90.00
_cell_angle_gamma 90.00
_symmetry_space_group_name_H-M 'I m m a'
_symmetry_Int_Tables_number 74
_symmetry_space_group_name_Hall '-I 2b 2'
loop_
_atom_site_label
_atom_site_type_symbol
_atom_site_fract_x
_atom_site_fract_y
_atom_site_fract_z
Y1 Y 0.0000 0.2500 0.1210
Be1 Be 0.0000 0.0000 0.5000
Os1 Os 0.2500 0.2500 0.7500
```

Results
V: 16.47 Å³ per atom

***

*c*
The following is a PBE calculation of an optimized crystal structure of YBeOs, from the Alexandria database.

CIF file:
```
data_YBeOs
_cell_length_a 3.2130
_cell_length_b 3.2130
_cell_length_c 9.6933
_cell_angle_alpha 90.00
_cell_angle_beta 90.00
_cell_angle_gamma 90.00
_symmetry_space_group_name_H-M 'I 4 m m'
_symmetry_Int_Tables_number 107
_symmetry_space_group_name_Hall 'I 4 -2'
loop_
_atom_site_label
_atom_site_type_symbol
_atom_site_fract_x
_atom_site_fract_y
_atom_site_fract_z
Y1 Y 0.0000 0.0000 0.0000
Be1 Be 0.0000 0.0000 0.7206
Os1 Os 0.0000 0.0000 0.2944
```

Results
V: 16.68 Å³ per atom

***

*d*
The following is a PBE calculation of an optimized crystal structure of YBeOs, from the Alexandria database.

CIF file:
```
data_YBeOs
_cell_length_a 5.9540
_cell_length_b 5.9540
_cell_length_c 5.9540
_cell_angle_alpha 90.00
_cell_angle_beta 90.00
_cell_angle_gamma 90.00
_symmetry_space_group_name_H-M 'F -4 3 m'
_symmetry_Int_Tables_number 216
_symmetry_space_group_name_Hall 'F -4 2 3'
loop_
_atom_site_label
_atom_site_type_symbol
_atom_site_fract_x
_atom_site_fract_y
_atom_site_fract_z
Y1 Y 0.0000 0.0000 0.0000
Be1 Be 0.2500 0.2500 0.7500
Os1 Os 0.0000 0.0000 0.5000
```

Results
V: 17.59 Å³ per atom

***

Name the least stable of them. *a*.

***

*a*
The following is a PBE calculation of an optimized crystal structure of YBeOs, from the Alexandria database.

CIF file:
```
data_YBeOs
_cell_length_a 4.7252
_cell_length_b 8.3751
_cell_length_c 18.4656
_cell_angle_alpha 90.00
_cell_angle_beta 90.00
_cell_angle_gamma 90.00
_symmetry_space_group_name_H-M 'F d d d'
_symmetry_Int_Tables_number 70
loop_
_symmetry_equiv_pos_as_xyz
'x,y,z'
'-x,-y,-z'
'-x+1/4,-y+1/4,z'
'x+1/4,y+1/4,-z'
'x,-y+1/4,-z+1/4'
'-x,y+1/4,z+1/4'
'-x+1/4,y,-z+1/4'
'x+1/4,-y,z+1/4'
'x,y+1/2,z+1/2'
'-x,-y+1/2,-z+1/2'
'-x+1/4,-y+3/4,z+1/2'
'x+1/4,y+3/4,-z+1/2'
'x,-y+3/4,-z+3/4'
'-x,y+3/4,z+3/4'
'-x+1/4,y+1/2,-z+3/4'
'x+1/4,-y+1/2,z+3/4'
'x+1/2,y,z+1/2'
'-x+1/2,-y,-z+1/2'
'-x+3/4,-y+1/4,z+1/2'
'x+3/4,y+1/4,-z+1/2'
'x+1/2,-y+1/4,-z+3/4'
'-x+1/2,y+1/4,z+3/4'
'-x+3/4,y,-z+3/4'
'x+3/4,-y,z+3/4'
'x+1/2,y+1/2,z'
'-x+1/2,-y+1/2,-z'
'-x+3/4,-y+3/4,z'
'x+3/4,y+3/4,-z'
'x+1/2,-y+3/4,-z+1/4'
'-x+1/2,y+3/4,z+1/4'
'-x+3/4,y+1/2,-z+1/4'
'x+3/4,-y+1/2,z+1/4'
loop_
_atom_site_label
_atom_site_type_symbol
_atom_site_fract_x
_atom_site_fract_y
_atom_site_fract_z
Y1 Y 0.1250 0.2911 0.1250
Be1 Be 0.1250 0.1250 0.0003
Os1 Os 0.1250 0.1250 0.5381
```

Results
V: 15.22 Å³ per atom

***

*b*
The following is a PBE calculation of an optimized crystal structure of YBeOs, from the Alexandria database.

CIF file:
```
data_YBeOs
_cell_length_a 4.0013
_cell_length_b 4.0013
_cell_length_c 3.7934
_cell_angle_alpha 90.00
_cell_angle_beta 90.00
_cell_angle_gamma 120.00
_symmetry_space_group_name_H-M 'P -6 m 2'
_symmetry_Int_Tables_number 187
_symmetry_space_group_name_Hall 'P -6 2'
loop_
_atom_site_label
_atom_site_type_symbol
_atom_site_fract_x
_atom_site_fract_y
_atom_site_fract_z
Y1 Y 0.0000 0.0000 0.0000
Be1 Be 0.6667 0.3333 0.5000
Os1 Os 0.3333 0.6667 0.5000
```

Results
V: 17.53 Å³ per atom

***

Name the least stable of them. *a*.

***

*a*
The following is a PBE calculation of an optimized crystal structure of Be3ZnOs, from the Alexandria database.

CIF file:
```
data_Be3ZnOs
_cell_length_a 4.2151
_cell_length_b 4.2151
_cell_length_c 4.2151
_cell_angle_alpha 90.00
_cell_angle_beta 90.00
_cell_angle_gamma 90.00
_symmetry_space_group_name_H-M 'P m -3 m'
_symmetry_Int_Tables_number 221
_symmetry_space_group_name_Hall '-P 4 2 3'
loop_
_atom_site_label
_atom_site_type_symbol
_atom_site_fract_x
_atom_site_fract_y
_atom_site_fract_z
Be1 Be 0.0000 0.0000 0.5000
Zn1 Zn 0.5000 0.5000 0.5000
Os1 Os 0.0000 0.0000 0.0000
```

Results
V: 14.98 Å³ per atom

***

*b*
The following is a PBE calculation of an optimized crystal structure of Be3ZnOs, from the Alexandria database.

CIF file:
```
data_Be3ZnOs
_cell_length_a 3.9285
_cell_length_b 3.9285
_cell_length_c 3.9285
_cell_angle_alpha 90.00
_cell_angle_beta 90.00
_cell_angle_gamma 90.00
_symmetry_space_group_name_H-M 'P m -3 m'
_symmetry_Int_Tables_number 221
_symmetry_space_group_name_Hall '-P 4 2 3'
loop_
_atom_site_label
_atom_site_type_symbol
_atom_site_fract_x
_atom_site_fract_y
_atom_site_fract_z
Be1 Be 0.0000 0.0000 0.5000
Zn1 Zn 0.0000 0.0000 0.0000
Os1 Os 0.5000 0.5000 0.5000
```

Results
V: 12.13 Å³ per atom

***

Name the least stable of them. *b*.

***

*a*
The following is a PBE calculation of an optimized crystal structure of ZrBeOs3, from the Alexandria database.

CIF file:
```
data_ZrBeOs3
_cell_length_a 4.1925
_cell_length_b 4.1925
_cell_length_c 4.1925
_cell_angle_alpha 90.00
_cell_angle_beta 90.00
_cell_angle_gamma 90.00
_symmetry_space_group_name_H-M 'P m -3 m'
_symmetry_Int_Tables_number 221
_symmetry_space_group_name_Hall '-P 4 2 3'
loop_
_atom_site_label
_atom_site_type_symbol
_atom_site_fract_x
_atom_site_fract_y
_atom_site_fract_z
Zr1 Zr 0.0000 0.0000 0.0000
Be1 Be 0.5000 0.5000 0.5000
Os1 Os 0.0000 0.5000 0.5000
```

Results
V: 14.74 Å³ per atom

***

*b*
The following is a PBE calculation of an optimized crystal structure of ZrBeOs3, from the Alexandria database.

CIF file:
```
data_ZrBeOs3
_cell_length_a 4.8149
_cell_length_b 4.8149
_cell_length_c 4.8149
_cell_angle_alpha 90.00
_cell_angle_beta 90.00
_cell_angle_gamma 90.00
_symmetry_space_group_name_H-M 'P m -3 m'
_symmetry_Int_Tables_number 221
_symmetry_space_group_name_Hall '-P 4 2 3'
loop_
_atom_site_label
_atom_site_type_symbol
_atom_site_fract_x
_atom_site_fract_y
_atom_site_fract_z
Zr1 Zr 0.0000 0.0000 0.0000
Be1 Be 0.5000 0.5000 0.5000
Os1 Os 0.0000 0.0000 0.5000
```

Results
V: 22.33 Å³ per atom

***

Name the least stable of them. *b*.

***

*a*
The following is a PBE calculation of an optimized crystal structure of BeP5, from the Alexandria database.

CIF file:
```
data_BeP5
_cell_length_a 3.2139
_cell_length_b 16.3737
_cell_length_c 3.4392
_cell_angle_alpha 90.00
_cell_angle_beta 90.00
_cell_angle_gamma 90.00
_symmetry_space_group_name_H-M 'C m m m'
_symmetry_Int_Tables_number 65
_symmetry_space_group_name_Hall '-C 2 2'
loop_
_atom_site_label
_atom_site_type_symbol
_atom_site_fract_x
_atom_site_fract_y
_atom_site_fract_z
Be1 Be 0.0000 0.0000 0.0000
P1 P 0.0000 0.2044 0.5000
P2 P 0.0000 0.3973 0.0000
P3 P 0.0000 0.5000 0.5000
```

Results
V: 15.08 Å³ per atom

***

*b*
The following is a PBE calculation of an optimized crystal structure of BeP5, from the Alexandria database.

CIF file:
```
data_BeP5
_cell_length_a 5.6500
_cell_length_b 5.6500
_cell_length_c 3.0726
_cell_angle_alpha 90.00
_cell_angle_beta 90.00
_cell_angle_gamma 120.00
_symmetry_space_group_name_H-M 'P -6 2 m'
_symmetry_Int_Tables_number 189
_symmetry_space_group_name_Hall 'P -6 -2'
loop_
_atom_site_label
_atom_site_type_symbol
_atom_site_fract_x
_atom_site_fract_y
_atom_site_fract_z
Be1 Be 0.0000 0.0000 0.0000
P1 P 0.0000 0.6743 0.5000
P2 P 0.3333 0.6667 0.0000
```

Results
V: 14.16 Å³ per atom

***

*c*
The following is a PBE calculation of an optimized crystal structure of BeP5, from the Alexandria database.

CIF file:
```
data_BeP5
_cell_length_a 7.0306
_cell_length_b 7.0306
_cell_length_c 7.0306
_cell_angle_alpha 90.00
_cell_angle_beta 90.00
_cell_angle_gamma 90.00
_symmetry_space_group_name_H-M 'F -4 3 m'
_symmetry_Int_Tables_number 216
_symmetry_space_group_name_Hall 'F -4 2 3'
loop_
_atom_site_label
_atom_site_type_symbol
_atom_site_fract_x
_atom_site_fract_y
_atom_site_fract_z
Be1 Be 0.0000 0.0000 0.0000
P1 P 0.1255 0.1255 0.6255
P2 P 0.2500 0.2500 0.2500
```

Results
V: 14.48 Å³ per atom

***

*d*
The following is a PBE calculation of an optimized crystal structure of BeP5, from the Alexandria database.

CIF file:
```
data_BeP5
_cell_length_a 3.3592
_cell_length_b 10.5495
_cell_length_c 4.7747
_cell_angle_alpha 90.00
_cell_angle_beta 90.00
_cell_angle_gamma 90.00
_symmetry_space_group_name_H-M 'C m m m'
_symmetry_Int_Tables_number 65
_symmetry_space_group_name_Hall '-C 2 2'
loop_
_atom_site_label
_atom_site_type_symbol
_atom_site_fract_x
_atom_site_fract_y
_atom_site_fract_z
Be1 Be 0.0000 0.0000 0.0000
P1 P 0.0000 0.0000 0.5000
P2 P 0.0000 0.3300 0.0000
P3 P 0.0000 0.3297 0.5000
```

Results
V: 14.10 Å³ per atom

***

Name the least stable of them. *c*.

***

*a*
The following is a PBE calculation of an optimized crystal structure of Be5P, from the Alexandria database.

CIF file:
```
data_Be5P
_cell_length_a 6.0661
_cell_length_b 6.0661
_cell_length_c 6.0661
_cell_angle_alpha 90.00
_cell_angle_beta 90.00
_cell_angle_gamma 90.00
_symmetry_space_group_name_H-M 'F -4 3 m'
_symmetry_Int_Tables_number 216
_symmetry_space_group_name_Hall 'F -4 2 3'
loop_
_atom_site_label
_atom_site_type_symbol
_atom_site_fract_x
_atom_site_fract_y
_atom_site_fract_z
Be1 Be 0.0000 0.0000 0.0000
Be2 Be 0.1265 0.1265 0.6265
P1 P 0.2500 0.2500 0.2500
```

Results
V: 9.30 Å³ per atom

***

*b*
The following is a PBE calculation of an optimized crystal structure of Be5P, from the Alexandria database.

CIF file:
```
data_Be5P
_cell_length_a 9.1808
_cell_length_b 2.3492
_cell_length_c 5.7666
_cell_angle_alpha 90.00
_cell_angle_beta 112.99
_cell_angle_gamma 90.00
_symmetry_space_group_name_H-M 'C 1 m 1'
_symmetry_Int_Tables_number 8
loop_
_symmetry_equiv_pos_as_xyz
'x,y,z'
'x,-y,z'
'x+1/2,y+1/2,z'
'x+1/2,-y+1/2,z'
loop_
_atom_site_label
_atom_site_type_symbol
_atom_site_fract_x
_atom_site_fract_y
_atom_site_fract_z
Be1 Be 0.0000 0.0000 0.0000
Be2 Be 0.0399 0.0000 0.6500
Be3 Be 0.1096 0.5000 0.3666
Be4 Be 0.2091 0.5000 0.9699
Be5 Be 0.2973 0.0000 0.7048
P1 P 0.3471 0.0000 0.3443
```

Results
V: 9.54 Å³ per atom

***

Name the least stable of them. *a*.